[1]
Here is a PBEsol-optimized structure of TePb2W from Alexandria via LeMat-Bulk. Energies are from meta-GGA SCAN.

Values from the calculation:
Raw formation energy (meV per atom): 1082
Theoretical density (g cm⁻³): 12.328

a = 5.6507 Å, b = 5.6507 Å, c = 3.0619 Å
α = 90.00°, β = 90.00°, γ = 90.00°
With the nearest neighbours (Å) after each atom.
Space group P4/mmm (No. 123)
Unique sites:
1 Te 0.0000 0.0000 0.0000  2 Te 3.06, 8 Pb 3.21
2 Pb 0.0000 0.5000 0.5000  2 Pb 3.06, 4 W 3.21, 4 Te 3.21
3 W 0.5000 0.5000 0.0000  2 W 3.06, 8 Pb 3.21

[2]
Here is a PBEsol-optimized structure of TePb2W from Alexandria via LeMat-Bulk. Energies are from meta-GGA SCAN.

Values from the calculation:
Raw formation energy (meV per atom): 1058
Theoretical density (g cm⁻³): 12.918

a = 5.0961 Å, b = 5.0961 Å, c = 7.1854 Å
α = 90.00°, β = 90.00°, γ = 90.00°
With the nearest neighbours (Å) after each atom.
Space group I-4m2 (No. 119)
Unique sites:
1 Te 0.0000 0.0000 0.0000  4 Pb 3.12, 4 W 3.12
2 Pb 0.0000 0.0000 0.5000  4 W 3.12, 4 Pb 3.12
3 Pb 0.0000 0.5000 0.2500  4 Pb 3.12, 4 Te 3.12
4 W 0.0000 0.5000 0.7500  4 Pb 3.12, 4 Te 3.12

[3]
Here is a PBEsol-optimized structure of TePb2W from Alexandria via LeMat-Bulk. Energies are from meta-GGA SCAN.

Values from the calculation:
Raw formation energy (meV per atom): 598
Theoretical density (g cm⁻³): 11.589

a = 3.4907 Å, b = 3.8040 Å, c = 15.6644 Å
α = 90.00°, β = 90.00°, γ = 90.00°
With the nearest neighbours (Å) after each atom.
Space group Amm2 (No. 38)
Unique sites:
1 Te 0.0000 0.0000 0.0000  2 W 2.64
2 Pb 0.0000 0.0000 0.2973  4 W 2.85
3 Pb 0.5000 0.0000 0.6632  1 W 3.30, 6 Pb 3.33-3.49, 4 Te 3.63
4 W 0.5000 0.0000 0.8737  2 Te 2.64, 4 Pb 2.85

[4]
Here is a PBEsol-optimized structure of TePb2W from Alexandria via LeMat-Bulk. Energies are from meta-GGA SCAN.

Values from the calculation:
Raw formation energy (meV per atom): 494
Theoretical density (g cm⁻³): 11.519

a = 9.5278 Å, b = 3.3044 Å, c = 7.1309 Å
α = 90.00°, β = 111.23°, γ = 90.00°
With the nearest neighbours (Å) after each atom.
Space group Cm (No. 8)
Unique sites:
1 Te 0.0000 0.0000 0.0000  3 W 2.64-2.71
2 Pb 0.1404 0.5000 0.6388  2 W 2.98, 3 Pb 3.10-3.30
3 Pb 0.3282 0.5000 0.3634  2 W 2.94, 1 Pb 3.10
4 W 0.2859 0.0000 0.0057  3 Te 2.64-2.71, 2 Pb 2.94

[5]
Here is a PBEsol-optimized structure of TePbW from Alexandria via LeMat-Bulk. Energies are from meta-GGA SCAN.

Values from the calculation:
Polymorph energy (0 for the lowest one) (kJ/mol of formula units): 407
Raw formation energy (meV per atom): 1893
Theoretical density (g cm⁻³): 10.879

a = 6.8160 Å, b = 6.8160 Å, c = 6.8160 Å
α = 90.00°, β = 90.00°, γ = 90.00°
With the nearest neighbours (Å) after each atom.
Space group F-43m (No. 216)
Unique sites:
1 Te 0.0000 0.0000 0.0000  4 Pb 2.95
2 Pb 0.2500 0.2500 0.2500  4 W 2.95, 4 Te 2.95
3 W 0.0000 0.0000 0.5000  4 Pb 2.95

[6]
Here is a PBEsol-optimized structure of Zn2TePbW from Alexandria via LeMat-Bulk. Energies are from meta-GGA SCAN.

Values from the calculation:
Raw formation energy (meV per atom): 1640
Theoretical density (g cm⁻³): 7.322

a = 4.9277 Å, b = 4.9277 Å, c = 6.0657 Å
α = 90.00°, β = 90.00°, γ = 90.00°
With the nearest neighbours (Å) after each atom.
Space group P4/mmm (No. 123)
Unique sites:
1 Zn 0.0000 0.5000 0.0000  2 Pb 2.46
2 Te 0.0000 0.0000 0.5000  2 Pb 3.03
3 Pb 0.0000 0.0000 0.0000  4 Zn 2.46
4 W 0.5000 0.5000 0.5000  4 Te 3.48

[7]
Here is a PBEsol-optimized structure of Y2TePb from Alexandria via LeMat-Bulk. Energies are from meta-GGA SCAN.

Values from the calculation:
Polymorph energy (0 for the lowest one) (kJ/mol of formula units): 110
Raw formation energy (meV per atom): -949
Theoretical density (g cm⁻³): 7.805

a = 7.4569 Å, b = 8.0554 Å, c = 3.7154 Å
α = 90.00°, β = 102.23°, γ = 90.00°
With the nearest neighbours (Å) after each atom.
Space group C2/m (No. 12)
Unique sites:
1 Y 0.2500 0.2500 0.0000  2 Pb 3.08, 2 Te 3.08
2 Te 0.0000 0.0000 0.5000  4 Y 3.08
3 Pb 0.0000 0.5000 0.5000  4 Y 3.08

[8]
Here is a PBEsol-optimized structure of Y2TePb from Alexandria via LeMat-Bulk. Energies are from meta-GGA SCAN.

Values from the calculation:
Polymorph energy (0 for the lowest one) (kJ/mol of formula units): 106
Raw formation energy (meV per atom): -959
Theoretical density (g cm⁻³): 7.948

a = 4.8827 Å, b = 5.4639 Å, c = 8.0288 Å
α = 90.00°, β = 90.00°, γ = 90.00°
With the nearest neighbours (Å) after each atom.
Space group Cmmm (No. 65)
Unique sites:
1 Y 0.0000 0.0000 0.2411  4 Te 3.12-3.35, 4 Pb 3.21-3.43
2 Te 0.0000 0.5000 0.0000  8 Y 3.12-3.35
3 Pb 0.0000 0.5000 0.5000  8 Y 3.21-3.43

[9]
Here is a PBEsol-optimized structure of Y2TePb from Alexandria via LeMat-Bulk. Energies are from meta-GGA SCAN.

Values from the calculation:
Polymorph energy (0 for the lowest one) (kJ/mol of formula units): 0
Raw formation energy (meV per atom): -1235
Theoretical density (g cm⁻³): 7.304

a = 7.5303 Å, b = 4.3519 Å, c = 7.5450 Å
α = 90.00°, β = 109.49°, γ = 90.00°
With the nearest neighbours (Å) after each atom.
Space group C2/m (No. 12)
Unique sites:
1 Y 0.2472 0.0000 0.2414  3 Pb 3.04, 3 Te 3.11
2 Te 0.0000 0.0000 0.5000  6 Y 3.11
3 Pb 0.0000 0.5000 0.0000  6 Y 3.04

[10]
Here is a PBEsol-optimized structure of Y2TePb from Alexandria via LeMat-Bulk. Energies are from meta-GGA SCAN.

Values from the calculation:
Polymorph energy (0 for the lowest one) (kJ/mol of formula units): 119
Raw formation energy (meV per atom): -925
Theoretical density (g cm⁻³): 7.893

a = 3.6270 Å, b = 5.3216 Å, c = 5.5874 Å
α = 90.00°, β = 90.00°, γ = 90.00°
With the nearest neighbours (Å) after each atom.
Space group Pmmm (No. 47)
Unique sites:
1 Y 0.0000 0.0000 0.0000  4 Pb 3.22, 4 Te 3.33
2 Y 0.0000 0.5000 0.5000  4 Te 3.22, 4 Pb 3.33
3 Te 0.5000 0.0000 0.5000  8 Y 3.22-3.33
4 Pb 0.5000 0.5000 0.0000  8 Y 3.22-3.33

[11]
Here is a PBEsol-optimized structure of Y2TePb from Alexandria via LeMat-Bulk. Energies are from meta-GGA SCAN.

Values from the calculation:
Polymorph energy (0 for the lowest one) (kJ/mol of formula units): 0
Raw formation energy (meV per atom): -1234
Theoretical density (g cm⁻³): 7.352

a = 4.3480 Å, b = 4.3480 Å, c = 6.1238 Å
α = 90.00°, β = 90.00°, γ = 90.00°
With the nearest neighbours (Å) after each atom.
Space group P4/mmm (No. 123)
Unique sites:
1 Y 0.0000 0.0000 0.0000  2 Te 3.06, 4 Pb 3.07
2 Y 0.5000 0.5000 0.5000  2 Pb 3.06, 4 Te 3.07
3 Te 0.0000 0.0000 0.5000  6 Y 3.06-3.07
4 Pb 0.5000 0.5000 0.0000  6 Y 3.06-3.07

[12]
Here is a PBEsol-optimized structure of Zn2TePb from Alexandria via LeMat-Bulk. Energies are from meta-GGA SCAN.

Values from the calculation:
Raw formation energy (meV per atom): 186
Theoretical density (g cm⁻³): 8.285

a = 3.9962 Å, b = 4.0834 Å, c = 5.7189 Å
α = 90.00°, β = 90.00°, γ = 90.00°
With the nearest neighbours (Å) after each atom.
Space group Pmmm (No. 47)
Unique sites:
1 Zn 0.0000 0.0000 0.0000  4 Pb 2.86
2 Zn 0.0000 0.5000 0.5000  4 Te 2.86
3 Te 0.5000 0.0000 0.5000  4 Zn 2.86
4 Pb 0.5000 0.5000 0.0000  4 Zn 2.86

Question: What is the formula in the tenth record?
Answer: Y2TePb